A plane-wave DFT calculation with GGA-PBE was carried out for a relaxed Rb2LiMgCl6 crystal.

Cell lengths 7.459, 7.459, 9.094 Å; angles 90.00, 90.00, 90.00 degrees
Space group I4/mmm (No. 139)
One atom of each set of equivalent atoms:
Rb 0.000 0.500 0.250
Li 0.000 0.000 0.000
Mg 0.000 0.000 0.500
Cl 0.000 0.000 0.243
Cl 0.241 0.241 0.500

Calculated values
Uncorrected formation energy   -1.6055 eV per atom

A plane-wave DFT calculation with GGA-PBE was carried out for a relaxed Rb3LiMg2Cl9 crystal.

Cell lengths 7.1671, 7.1671, 8.8250 Å; angles 90.00, 90.00, 120.00 degrees
Space group P-3m1 (No. 164)
One atom of each set of equivalent atoms:
Rb 0.0000 0.0000 0.0000
Rb 0.3333 0.6667 0.6613
Li 0.0000 0.0000 0.5000
Mg 0.3333 0.6667 0.1711
Cl 0.0000 0.5000 0.0000
Cl 0.1687 0.3374 0.3290

Calculated values
Uncorrected formation energy   -1.7319 eV per atom

A plane-wave DFT calculation with GGA-PBE was carried out for a relaxed LiMgS2Cl crystal.

Cell lengths 4.308, 4.308, 5.209 Å; angles 90.00, 90.00, 90.00 degrees
Space group P4/mmm (No. 123)
One atom of each set of equivalent atoms:
Li 0.000 0.000 0.000
Mg 0.500 0.500 0.500
S 0.000 0.500 0.000
Cl 0.000 0.000 0.500

Calculated values
Uncorrected formation energy   -0.3101 eV per atom

A plane-wave DFT calculation with GGA-PBE was carried out for a relaxed LiMgS2Cl crystal.

Cell lengths 4.842, 4.842, 5.115 Å; angles 90.00, 90.00, 90.00 degrees
Space group P4/mmm (No. 123)
One atom of each set of equivalent atoms:
Li 0.000 0.000 0.000
Mg 0.500 0.500 0.500
S 0.000 0.500 0.500
Cl 0.500 0.500 0.000

Calculated values
Uncorrected formation energy   -0.5450 eV per atom

A plane-wave DFT calculation with GGA-PBE was carried out for a relaxed LiSmMgCl6 crystal.

Cell lengths 6.6469, 6.6469, 11.8707 Å; angles 90.00, 90.00, 120.00 degrees
Space group P-31c (No. 163)
One atom of each set of equivalent atoms:
Li 0.0000 0.0000 0.0000
Sm 0.3333 0.6667 0.2500
Mg 0.3333 0.6667 0.7500
Cl 0.0215 0.3525 0.6279

Calculated values
Uncorrected formation energy   -1.9921 eV per atom

A plane-wave DFT calculation with GGA-PBE was carried out for a relaxed LiMgSn2Cl6 crystal.

Cell lengths 7.375, 7.092, 11.845 Å; angles 90.00, 127.40, 90.00 degrees
Space group P2_1/c (No. 14)
One atom of each set of equivalent atoms:
Li 0.000 0.000 0.000
Mg 0.500 0.000 0.500
Sn 0.198 0.032 0.674
Cl 0.148 0.029 0.250
Cl 0.316 0.741 0.062
Cl 0.339 0.239 0.063

Calculated values
Uncorrected formation energy   -1.2325 eV per atom

What did we get for DFT total energy? Answer: -65.16; -50.60; -15.16; -16.34; -74.47; -69.84 eV per cell, in the order shown.